Computed, not measured: an optimized crystal structure of ScMn3Sb at the GGA-PBE level of DFT.

Cell lengths 4.7075, 4.7075, 4.7075 Å; angles 90.00, 90.00, 90.00 degrees
Closest atoms and distances in Å follow each position.
Space group Pm-3m (No. 221)
Inequivalent atoms, fractional coordinates:
Sc (0.0000, 0.0000, 0.0000) [1 per cell]  6 Mn 2.35
Mn (0.0000, 0.0000, 0.5000) [3 per cell]  2 Sc 2.35
Sb (0.5000, 0.5000, 0.5000) [1 per cell]  12 Mn 3.33

* offset from the most stable computed form: 344.9 meV/atom
* raw total energy: -6.435 eV/atom